1.
AgSbPt2 | PBEsol | relaxed

Cell: 3.0768 3.0768 26.0339 Å, 90.00 90.00 120.00°
Space group R3m (No. 160, hexagonal axes)
Inequivalent atoms, fractional coordinates:
Ag (0.0000, 0.0000, 0.0000) x3
Sb (0.0000, 0.0000, 0.2397) x3
Pt (0.0000, 0.0000, 0.4953) x3
Pt (0.0000, 0.0000, 0.7485) x3

Calculated values
raw formation energy: 54 kJ/mol of formula units

=====

2.
YMgPb2 | PBEsol | relaxed

Cell: 11.509 4.398 4.394 Å, 90.00 112.37 90.00°
Space group Cm (No. 8)
Inequivalent atoms, fractional coordinates:
Y (0.000, 0.000, 0.000) x2
Mg (0.250, 0.500, 0.251) x2
Pb (0.000, 0.500, 0.500) x2
Pb (0.250, 0.000, 0.752) x2

Calculated values
calculated formation energy: -1.5 eV per formula unit

=====

3.
TaTiMnBe2 | PBEsol | relaxed

Cell: 4.372 4.372 4.458 Å, 90.00 90.00 90.00°
Space group P4/mmm (No. 123)
Inequivalent atoms, fractional coordinates:
Ta (0.000, 0.000, 0.000) x1
Ti (0.000, 0.000, 0.500) x1
Mn (0.500, 0.500, 0.000) x1
Be (0.000, 0.500, 0.500) x2

Calculated values
calculated formation energy: 8.0 eV per formula unit

=====

4.
BeCd2Si | PBEsol | relaxed

Cell: 13.212 2.849 3.699 Å, 90.00 104.09 90.00°
Space group C2/m (No. 12)
Inequivalent atoms, fractional coordinates:
Be (0.000, 0.000, 0.000) x2
Cd (0.176, 0.500, 0.176) x4
Si (0.000, 0.500, 0.500) x2

Calculated values
polymorph energy (0 for the lowest one): 0 meV per atom
raw formation energy: 99 kJ/mol of formula units

=====

5.
RbIrRu2 | PBEsol | relaxed

Cell: 6.403 6.403 6.403 Å, 90.00 90.00 90.00°
Space group Fm-3m (No. 225)
Inequivalent atoms, fractional coordinates:
Rb (0.000, 0.000, 0.000) x4
Ir (0.000, 0.000, 0.500) x4
Ru (0.250, 0.250, 0.250) x8

Calculated values
calculated formation energy: 6.6 eV per formula unit

=====

6.
Be3GeRu | PBEsol | relaxed

Cell: 4.163 4.163 4.163 Å, 90.00 90.00 90.00°
Space group Pm-3m (No. 221)
Inequivalent atoms, fractional coordinates:
Be (0.000, 0.000, 0.500) x3
Ge (0.500, 0.500, 0.500) x1
Ru (0.000, 0.000, 0.000) x1

Calculated values
calculated formation energy: 3.4 eV per formula unit

=====

7.
YGaSi3 | PBEsol | relaxed

Cell: 4.720 4.720 4.720 Å, 90.00 90.00 90.00°
Space group Pm-3m (No. 221)
Inequivalent atoms, fractional coordinates:
Y (0.000, 0.000, 0.000) x1
Ga (0.500, 0.500, 0.500) x1
Si (0.000, 0.500, 0.500) x3

Calculated values
polymorph energy (0 for the lowest one): 0 meV per atom
raw formation energy: 202 kJ/mol of formula units

=====

8.
TiIN3 | PBEsol | relaxed

Cell: 3.989 3.989 3.989 Å, 90.00 90.00 90.00°
Space group Pm-3m (No. 221)
Inequivalent atoms, fractional coordinates:
Ti (0.000, 0.000, 0.000) x1
I (0.500, 0.500, 0.500) x1
N (0.000, 0.000, 0.500) x3

Calculated values
raw formation energy: 407 kJ/mol of formula units

=====

9.
CrSb2Pb | PBEsol | relaxed

Cell: 6.146 6.146 13.718 Å, 90.00 90.00 90.00°
Space group I-42d (No. 122)
Inequivalent atoms, fractional coordinates:
Cr (0.000, 0.000, 0.000) x4
Sb (0.187, 0.250, 0.125) x8
Pb (0.000, 0.000, 0.500) x4

Calculated values
raw formation energy: 175 kJ/mol of formula units

=====

10.
SiSbIN2 | PBEsol | relaxed

Cell: 3.951 3.951 5.137 Å, 90.00 90.00 90.00°
Space group P4/mmm (No. 123)
Inequivalent atoms, fractional coordinates:
Si (0.000, 0.000, 0.000) x1
Sb (0.500, 0.500, 0.500) x1
I (0.000, 0.000, 0.500) x1
N (0.000, 0.500, 0.000) x2

Calculated values
raw formation energy: 540 kJ/mol of formula units

=====

11.
TaCdP | PBEsol | relaxed

Cell: 6.005 6.005 6.005 Å, 90.00 90.00 90.00°
Space group F-43m (No. 216)
Inequivalent atoms, fractional coordinates:
Ta (0.000, 0.000, 0.000) x4
Cd (0.000, 0.000, 0.500) x4
P (0.250, 0.250, 0.250) x4

Calculated values
calculated formation energy: 1.1 eV per formula unit

=====

12.
SrHf2ZnPd | PBEsol | relaxed

Cell: 5.044 5.044 4.928 Å, 90.00 90.00 90.00°
Space group P4/mmm (No. 123)
Inequivalent atoms, fractional coordinates:
Sr (0.000, 0.000, 0.000) x1
Hf (0.000, 0.500, 0.500) x2
Zn (0.500, 0.500, 0.000) x1
Pd (0.500, 0.500, 0.500) x1

Calculated values
calculated formation energy: 1.8 eV per formula unit

=====

13.
CoCu3 | PBEsol | relaxed

Cell: 2.4843 2.4843 24.7686 Å, 90.00 90.00 120.00°
Space group R-3m (No. 166, hexagonal axes)
Inequivalent atoms, fractional coordinates:
Co (0.0000, 0.0000, 0.0000) x3
Cu (0.0000, 0.0000, 0.2506) x6
Cu (0.0000, 0.0000, 0.5000) x3

Calculated values
calculated formation energy: 0.3 eV per formula unit

=====

14.
V5O9 | PBEsol | relaxed

Cell: 5.445 6.979 8.305 Å, 69.16 75.26 70.72°
Space group P-1 (No. 2)
Inequivalent atoms, fractional coordinates:
V (0.000, 0.000, 0.000) x1
V (0.000, 0.500, 0.000) x1
V (0.281, 0.175, 0.575) x2
V (0.285, 0.672, 0.579) x2
V (0.341, 0.165, 0.206) x2
V (0.345, 0.662, 0.205) x2
O (0.026, 0.187, 0.760) x2
O (0.064, 0.204, 0.419) x2
O (0.088, 0.193, 0.078) x2
O (0.259, 0.466, 0.139) x2
O (0.285, 0.490, 0.801) x2
O (0.309, 0.471, 0.459) x2
O (0.375, 0.849, 0.977) x2
O (0.409, 0.851, 0.322) x2
O (0.414, 0.867, 0.634) x2

Calculated values
raw formation energy: -3216 kJ/mol of formula units

=====

15.
Ir2OsRu | PBEsol | relaxed

Cell: 2.687 3.825 5.381 Å, 90.00 90.00 90.00°
Space group Pmmm (No. 47)
Inequivalent atoms, fractional coordinates:
Ir (0.000, 0.000, 0.249) x2
Os (0.500, 0.500, 0.500) x1
Ru (0.500, 0.500, 0.000) x1

Calculated values
polymorph energy (0 for the lowest one): 4 meV per atom
calculated formation energy: 0.0 eV per formula unit

=====

16.
Sb | PBEsol | relaxed

Cell: 4.3281 4.3281 11.0417 Å, 90.00 90.00 120.00°
Space group R-3m (No. 166, hexagonal axes)
Inequivalent atoms, fractional coordinates:
Sb (0.0000, 0.0000, 0.2360) x6

Calculated values
polymorph energy (0 for the lowest one): 0 meV per atom
raw formation energy: 0 kJ/mol of formula units

=====

17.
HoGa2Co3 | PBEsol | relaxed

Cell: 5.1120 5.1120 3.7265 Å, 90.00 90.00 120.00°
Space group P6/mmm (No. 191)
Inequivalent atoms, fractional coordinates:
Ho (0.0000, 0.0000, 0.0000) x1
Ga (0.3333, 0.6667, 0.0000) x2
Co (0.0000, 0.5000, 0.5000) x3

Calculated values
calculated formation energy: -2.4 eV per formula unit

=====

18.
Cs6Cr2O7 | PBEsol | relaxed

Cell: 7.152 9.694 12.025 Å, 90.00 125.49 90.00°
Space group P2_1/c (No. 14)
Inequivalent atoms, fractional coordinates:
Cs (0.044, 0.145, 0.416) x4
Cs (0.203, 0.527, 0.450) x4
Cs (0.404, 0.213, 0.280) x4
Cr (0.325, 0.635, 0.871) x4
O (0.073, 0.662, 0.860) x4
O (0.266, 0.585, 0.714) x4
O (0.499, 0.717, 0.431) x4
O (0.500, 0.000, 0.500) x2

Calculated values
raw formation energy: -2459 kJ/mol of formula units

=====

19.
Na2TiF5 | PBEsol | relaxed

Cell: 7.486 5.312 11.088 Å, 90.00 107.85 90.00°
Space group P2_1/c (No. 14)
Inequivalent atoms, fractional coordinates:
Na (0.152, 0.005, 0.363) x4
Na (0.347, 0.562, 0.184) x4
Ti (0.000, 0.000, 0.000) x2
Ti (0.500, 0.000, 0.000) x2
F (0.056, 0.663, 0.668) x4
F (0.109, 0.189, 0.575) x4
F (0.251, 0.641, 0.503) x4
F (0.383, 0.221, 0.858) x4
F (0.480, 0.740, 0.873) x4

Calculated values
raw formation energy: -2359 kJ/mol of formula units

=====

20.
RbH3O | PBEsol | relaxed

Cell: 3.630 3.630 3.630 Å, 90.00 90.00 90.00°
Space group Pm-3m (No. 221)
Inequivalent atoms, fractional coordinates:
Rb (0.000, 0.000, 0.000) x1
H (0.000, 0.500, 0.500) x3
O (0.500, 0.500, 0.500) x1

Calculated values
final energy: -13.682 eV for the cell shown

=====

21.
Rb3MoCl | PBEsol | relaxed

Cell: 6.261 6.261 6.261 Å, 90.00 90.00 90.00°
Space group Pm-3m (No. 221)
Inequivalent atoms, fractional coordinates:
Rb (0.000, 0.000, 0.500) x3
Mo (0.500, 0.500, 0.500) x1
Cl (0.000, 0.000, 0.000) x1

Calculated values
polymorph energy (0 for the lowest one): 0 meV per atom
raw formation energy: 175 kJ/mol of formula units

=====

22.
LiDy2In | PBEsol | relaxed

Cell: 7.344 7.344 7.344 Å, 90.00 90.00 90.00°
Space group Fm-3m (No. 225)
Inequivalent atoms, fractional coordinates:
Li (0.000, 0.000, 0.000) x4
Dy (0.250, 0.250, 0.250) x8
In (0.000, 0.000, 0.500) x4

Calculated values
calculated formation energy: -1.1 eV per formula unit

=====

23.
SrYPt2 | PBEsol | relaxed

Cell: 4.149 4.149 9.977 Å, 90.00 90.00 90.00°
Space group I-4m2 (No. 119)
Inequivalent atoms, fractional coordinates:
Sr (0.000, 0.000, 0.000) x2
Y (0.000, 0.500, 0.250) x2
Pt (0.000, 0.000, 0.500) x2
Pt (0.000, 0.500, 0.750) x2

Calculated values
polymorph energy (0 for the lowest one): 296 meV per atom
calculated formation energy: -2.6 eV per formula unit

=====

24.
ReRu2Au | PBEsol | relaxed

Cell: 2.7317 2.7317 27.0240 Å, 90.00 90.00 120.00°
Space group R-3m (No. 166, hexagonal axes)
Inequivalent atoms, fractional coordinates:
Re (0.0000, 0.0000, 0.0000) x3
Ru (0.0000, 0.0000, 0.2550) x6
Au (0.0000, 0.0000, 0.5000) x3

Calculated values
polymorph energy (0 for the lowest one): 0 meV per atom
calculated formation energy: 0.5 eV per formula unit

=====

25.
YMgCuSi2 | PBEsol | relaxed

Cell: 4.491 4.491 5.034 Å, 90.00 90.00 90.00°
Space group P4/mmm (No. 123)
Inequivalent atoms, fractional coordinates:
Y (0.000, 0.000, 0.000) x1
Mg (0.500, 0.500, 0.000) x1
Cu (0.000, 0.000, 0.500) x1
Si (0.000, 0.500, 0.500) x2

Calculated values
raw formation energy: 99 kJ/mol of formula units